(1)
Nd3Dy2Er (PBE, relaxed); VASP energy = -4.6812 eV/atom; offset from the most stable computed form = 0.00 eV per formula unit; crystal system = orthorhombic; energy of formation from the pure elements = -0.003 eV per atom
1.0
-7.3463 8.5198 2.9014
-3.3755 -1.1527 -5.1618
-1.3401 -2.9797 5.3565
Nd Dy Er
6 4 2
Direct
0.4696 0.1661 0.8338
0.9696 0.1662 0.8339
0.4698 0.4999 0.4999
0.9698 0.5001 0.5001
0.9696 0.8339 0.1662
0.4696 0.8338 0.1661
0.7196 0.1671 0.5004
0.2196 0.4996 0.8329
0.2196 0.8329 0.4996
0.7196 0.5004 0.1671
0.7196 0.8332 0.8332
0.2196 0.1668 0.1668

=====

(2)
Ba2TiBe (PBE, relaxed); VASP energy = -2.8484 eV/atom; crystal system = tetragonal; energy of formation from the pure elements = 1.018 eV per atom
1.0
9.1095 0.0000 0.0000
0.0000 9.1095 0.0000
4.5548 4.5548 3.2428
Be Ba Ti
2 4 2
Direct
0.5000 0.5000 0.0000
0.2500 0.7500 0.5000
0.5835 0.1250 0.2500
0.1665 0.6250 0.2500
0.3750 0.4165 0.7500
0.8750 0.8335 0.7500
0.0000 0.0000 0.0000
0.7500 0.2500 0.5000

=====

(3)
LaYTm2Th (PBE, relaxed); VASP energy = -5.2654 eV/atom; crystal system = orthorhombic; energy of formation from the pure elements = 0.285 eV per atom
1.0
-2.2831 3.8395 -3.4507
-7.9153 -2.1802 2.8111
0.4746 4.8578 5.0911
La Y Tm Th
2 2 4 2
Direct
0.0000 0.0000 0.0000
0.0000 0.0000 0.5000
0.0000 0.5000 0.7500
0.0000 0.5000 0.2500
0.5001 0.6781 0.9996
0.5001 0.3219 0.5004
0.4999 0.6781 0.4996
0.4999 0.3219 0.0004
0.5000 0.0000 0.2500
0.5000 0.0000 0.7500